No. 1
Entry from Alexandria via LeMat-Bulk: a relaxed structure of Cs8Rb3Hg3 (PBE-GGA).

Lattice parameters (Å, degrees): 7.389 14.242 13.251 57.61 73.81 74.97
Sites, in units of the cell vectors:
Cs 0.134 0.195 0.538
Cs 0.866 0.805 0.462
Cs 0.858 0.432 0.853
Cs 0.142 0.568 0.147
Cs 0.520 0.654 0.306
Cs 0.480 0.346 0.694
Cs 0.362 0.078 0.197
Cs 0.638 0.922 0.803
Rb 0.274 0.707 0.745
Rb 0.726 0.293 0.255
Rb 0.000 0.000 0.000
Hg 0.000 0.500 0.500
Hg 0.689 0.608 0.013
Hg 0.311 0.392 0.987

The volume is 1120 Å³ per cell. The crystal system is monoclinic. As for the formation energy: -1.2 eV/f.u.

***

No. 2
Entry from Alexandria via LeMat-Bulk: a relaxed structure of LiHgTe (PBE-GGA).

Lattice parameters (Å, degrees): 4.970 4.970 4.970 60.00 60.00 60.00
Sites, in units of the cell vectors:
Hg 0.750 0.750 0.750
Li 0.000 0.000 0.000
Te 0.500 0.500 0.500

The value obtained for the energy above the most stable polymorph in this dataset is 0.448 eV per formula unit. For the raw formation energy, the calculation gives -263 meV per atom. The volume is 87 Å³ per cell. The crystal system is cubic.

***

No. 3
Entry from Alexandria via LeMat-Bulk: a relaxed structure of LaZrBr3 (PBE-GGA).

Lattice parameters (Å, degrees): 5.300 5.300 5.300 90.00 90.00 90.00
Last column: magnetic moment on the atom in μB.
Sites, in units of the cell vectors:
Br 0.000 0.500 0.000  0.01
Br 0.000 0.000 0.500  0.00
Br 0.500 0.000 0.000  0.01
Zr 0.000 0.000 0.000  0.28
La 0.500 0.500 0.500  0.54

The value obtained for the energy above the most stable polymorph in this dataset is 0.000 eV per formula unit. For the raw formation energy, the calculation gives -610 meV per atom. The volume is 149 Å³ per cell. The crystal system is cubic.

***

No. 4
Entry from Alexandria via LeMat-Bulk: a relaxed structure of AcDy2Ni (PBE-GGA).

Lattice parameters (Å, degrees): 3.954 3.954 9.422 77.89 77.89 60.00
Sites, in units of the cell vectors:
Ac 0.502 0.502 0.494
Dy 0.053 0.053 0.841
Dy 0.279 0.279 0.162
Ni 0.666 0.666 0.003

The value obtained for the energy above the most stable polymorph in this dataset is 0.031 eV per formula unit. The volume is 124 Å³ per cell. The crystal system is trigonal. As for the formation energy: -0.5 eV/f.u.

***

No. 5
Entry from Alexandria via LeMat-Bulk: a relaxed structure of Sr2CaCd2Ge2 (PBE-GGA).

Lattice parameters (Å, degrees): 4.644 4.644 12.100 78.94 78.94 60.00
Sites, in units of the cell vectors:
Sr 0.116 0.116 0.652
Sr 0.884 0.884 0.348
Ca 0.000 0.000 0.000
Cd 0.616 0.616 0.151
Cd 0.384 0.384 0.849
Ge 0.726 0.726 0.821
Ge 0.274 0.274 0.179

The volume is 220 Å³ per cell. The crystal system is trigonal. As for the formation energy: -2.6 eV/f.u.

***

No. 6
Entry from Alexandria via LeMat-Bulk: a relaxed structure of Ba2Tl6PbAu (PBE-GGA).

Lattice parameters (Å, degrees): 6.460 10.896 10.222 90.00 90.00 90.00
Sites, in units of the cell vectors:
Ba 0.500 0.723 0.241
Ba 0.000 0.277 0.741
Ba 0.500 0.723 0.759
Ba 0.000 0.277 0.259
Tl 0.500 0.108 0.247
Tl 0.500 0.108 0.753
Tl 0.000 0.892 0.253
Tl 0.000 0.892 0.747
Tl 0.251 0.005 0.500
Tl 0.749 0.005 0.500
Tl 0.241 0.530 0.500
Tl 0.759 0.530 0.500
Tl 0.741 0.470 0.000
Tl 0.259 0.470 0.000
Tl 0.249 0.995 0.000
Tl 0.751 0.995 0.000
Pb 0.500 0.292 0.500
Pb 0.000 0.708 0.000
Au 0.000 0.753 0.500
Au 0.500 0.247 0.000

The volume is 719 Å³ per cell. The crystal system is orthorhombic. As for the formation energy: -1.4 eV/f.u.